[1]
This record from Alexandria describes an optimized crystal structure of Pm5Nd4Al. The functional is PBE.

a b c (Å): 5.899 8.172 8.172
angles (deg): 82.52 68.85 68.85
Sites, in units of the cell vectors:
1 Nd 0.146 0.311 0.311
2 Nd 0.457 0.311 0.689
3 Pm 0.781 0.000 0.366
4 Al 0.173 0.000 0.000
5 Pm 0.148 0.000 0.634
6 Nd 0.457 0.689 0.311
7 Pm 0.652 0.000 0.000
8 Nd 0.768 0.689 0.689
9 Pm 0.781 0.366 0.000
10 Pm 0.148 0.634 0.000

Calculated values
SG = I4mm, No. 107
E = -45.66 eV/cell
ΔE to the lowest computed polymorph = 48 meV/atom
Energy of formation from the pure elements = 90 meV/atom

---

[2]
This record from Alexandria describes an optimized crystal structure of CeNdIrPd. The functional is PBE.

a b c (Å): 3.894 4.152 6.124
angles (deg): 90.00 108.54 90.00
Sites, in units of the cell vectors:
1 Ir 0.402 0.000 0.804
2 Nd 0.145 0.000 0.291
3 Ce 0.870 0.500 0.740
4 Pd 0.582 0.500 0.165

Calculated values
SG = Amm2, No. 38
E = -27.85 eV/cell
ΔE to the lowest computed polymorph = 0 meV/atom
Energy of formation from the pure elements = -774 meV/atom

---

[3]
This record from Alexandria describes an optimized crystal structure of AlCuP2. The functional is PBE.

a b c (Å): 3.430 3.430 4.961
angles (deg): 90.00 90.00 90.00
Sites, in units of the cell vectors:
1 P 0.000 0.000 0.519
2 Al 0.500 0.500 0.250
3 Cu 0.500 0.500 0.750
4 P 0.000 0.000 0.981

Calculated values
SG = P4/mmm, No. 123
E = -17.86 eV/cell
Energy of formation from the pure elements = 200 meV/atom

---

[4]
This record from Alexandria describes an optimized crystal structure of La2PrNd3Er6. The functional is PBE.

a b c (Å): 6.274 6.274 11.806
angles (deg): 95.08 95.08 119.99
Sites, in units of the cell vectors:
1 La 0.333 0.667 0.000
2 Er 0.084 0.417 0.252
3 Nd 0.500 0.500 0.500
4 Pr 0.000 0.000 0.000
5 Nd 0.166 0.834 0.500
6 Er 0.249 0.249 0.748
7 La 0.667 0.333 0.000
8 Er 0.751 0.751 0.252
9 Er 0.916 0.583 0.748
10 Er 0.417 0.084 0.252
11 Nd 0.834 0.166 0.500
12 Er 0.583 0.916 0.748

Calculated values
SG = C2/m, No. 12
E = -56.14 eV/cell
Energy of formation from the pure elements = 14 meV/atom

---

[5]
This record from Alexandria describes an optimized crystal structure of NaNd4Au7. The functional is PBE.

a b c (Å): 5.315 8.609 7.619
angles (deg): 72.91 69.59 72.02
Sites, in units of the cell vectors:
1 Au 0.680 0.451 0.190
2 Nd 0.566 0.252 0.616
3 Au 0.320 0.549 0.810
4 Nd 0.740 0.722 0.799
5 Au 0.076 0.649 0.199
6 Au 0.182 0.050 0.586
7 Au 0.924 0.351 0.801
8 Nd 0.434 0.748 0.384
9 Au 0.500 0.000 0.000
10 Na 0.000 0.000 0.000
11 Au 0.818 0.950 0.414
12 Nd 0.260 0.278 0.201

Calculated values
SG = C2/m, No. 12
E = -50.49 eV/cell
Energy of formation from the pure elements = -596 meV/atom

---

[6]
This record from Alexandria describes an optimized crystal structure of LaAl4CuAg2. The functional is PBE.

a b c (Å): 4.392 4.392 9.457
angles (deg): 76.57 76.57 60.00
Sites, in units of the cell vectors:
1 Al 0.405 0.405 0.785
2 La 0.000 0.000 0.000
3 Al 0.595 0.595 0.215
4 Al 0.869 0.869 0.393
5 Cu 0.500 0.500 0.500
6 Ag 0.763 0.763 0.712
7 Ag 0.237 0.237 0.288
8 Al 0.131 0.131 0.607

Calculated values
SG = R-3m, No. 166
E = -31.49 eV/cell
Energy of formation from the pure elements = -224 meV/atom

---

[7]
This record from Alexandria describes an optimized crystal structure of Sc3Rh4. The functional is PBE.

a b c (Å): 4.440 4.440 7.666
angles (deg): 73.17 73.17 60.00
Sites, in units of the cell vectors:
1 Rh 0.876 0.876 0.371
2 Sc 0.000 0.000 0.000
3 Rh 0.124 0.124 0.629
4 Sc 0.757 0.757 0.728
5 Rh 0.376 0.376 0.873
6 Rh 0.624 0.624 0.127
7 Sc 0.243 0.243 0.272

Calculated values
SG = R-3m, No. 166
E = -53.18 eV/cell
ΔE to the lowest computed polymorph = 208 meV/atom
Energy of formation from the pure elements = -683 meV/atom

---

[8]
This record from Alexandria describes an optimized crystal structure of Ba3TlFe. The functional is PBE.

a b c (Å): 5.798 5.798 5.798
angles (deg): 90.00 90.00 90.00
Sites, in units of the cell vectors:
1 Ba 0.500 0.000 0.000
2 Fe 0.000 0.000 0.000
3 Ba 0.000 0.000 0.500
4 Ba 0.000 0.500 0.000
5 Tl 0.500 0.500 0.500

Calculated values
SG = Pm-3m, No. 221
E = -14.90 eV/cell
ΔE to the lowest computed polymorph = 0 meV/atom
Energy of formation from the pure elements = 339 meV/atom